Entry 1:
The following is a DFT calculation (PBE-GGA) of a relaxed Hf31PdO64 crystal.

Unit cell a=10.017 b=10.077 c=10.460 alpha=89.83 beta=89.88 gamma=89.62
Fractional coordinates of all 96 atoms:
Hf: 0.011 0.125 0.104
Hf: 0.516 0.629 0.106
Hf: 0.010 0.622 0.108
Hf: 0.504 0.125 0.111
Hf: 0.744 0.878 0.140
Hf: 0.741 0.374 0.141
Hf: 0.241 0.871 0.142
Hf: 0.240 0.124 0.355
Hf: 0.742 0.123 0.357
Hf: 0.743 0.626 0.358
Hf: 0.243 0.628 0.365
Hf: 0.510 0.876 0.391
Hf: 0.008 0.875 0.391
Hf: 0.007 0.373 0.392
Hf: 0.513 0.376 0.393
Hf: 0.008 0.124 0.608
Hf: 0.508 0.124 0.608
Hf: 0.510 0.625 0.609
Hf: 0.009 0.624 0.610
Hf: 0.242 0.374 0.640
Hf: 0.742 0.875 0.642
Hf: 0.241 0.875 0.642
Hf: 0.740 0.372 0.642
Hf: 0.239 0.123 0.857
Hf: 0.743 0.624 0.858
Hf: 0.243 0.622 0.859
Hf: 0.739 0.124 0.860
Hf: 0.008 0.371 0.889
Hf: 0.507 0.877 0.891
Hf: 0.504 0.377 0.891
Hf: 0.009 0.872 0.892
O: 0.146 0.993 0.007
O: 0.649 0.501 0.007
O: 0.642 0.002 0.009
O: 0.148 0.490 0.014
O: 0.904 0.302 0.055
O: 0.412 0.808 0.059
O: 0.911 0.801 0.059
O: 0.401 0.309 0.064
O: 0.340 0.571 0.189
O: 0.839 0.056 0.191
O: 0.338 0.051 0.192
O: 0.842 0.552 0.193
O: 0.110 0.250 0.235
O: 0.607 0.752 0.241
O: 0.604 0.251 0.243
O: 0.104 0.748 0.244
O: 0.103 0.000 0.257
O: 0.605 0.502 0.257
O: 0.604 0.001 0.258
O: 0.109 0.500 0.261
O: 0.841 0.303 0.308
O: 0.840 0.806 0.309
O: 0.340 0.805 0.310
O: 0.339 0.310 0.313
O: 0.411 0.057 0.439
O: 0.914 0.556 0.440
O: 0.910 0.054 0.441
O: 0.412 0.556 0.442
O: 0.144 0.249 0.488
O: 0.646 0.750 0.491
O: 0.647 0.249 0.492
O: 0.146 0.751 0.494
O: 0.146 0.000 0.506
O: 0.647 0.500 0.508
O: 0.645 0.999 0.508
O: 0.145 0.500 0.510
O: 0.411 0.304 0.557
O: 0.910 0.305 0.557
O: 0.411 0.805 0.558
O: 0.911 0.804 0.558
O: 0.340 0.053 0.689
O: 0.838 0.055 0.691
O: 0.841 0.552 0.692
O: 0.342 0.554 0.692
O: 0.106 0.250 0.733
O: 0.602 0.250 0.742
O: 0.606 0.750 0.742
O: 0.106 0.748 0.742
O: 0.103 0.999 0.757
O: 0.605 0.000 0.758
O: 0.605 0.499 0.758
O: 0.107 0.499 0.760
O: 0.841 0.802 0.807
O: 0.838 0.302 0.808
O: 0.338 0.305 0.809
O: 0.339 0.804 0.809
O: 0.409 0.058 0.941
O: 0.915 0.556 0.941
O: 0.414 0.558 0.942
O: 0.906 0.047 0.942
O: 0.128 0.236 0.975
O: 0.647 0.752 0.990
O: 0.636 0.252 0.992
O: 0.146 0.744 0.993
Pd: 0.249 0.396 0.162

Summary:
As for the space-group type: P1, No. 1. For the total energy, the calculation gives -958.530 eV for the cell shown.

***

Entry 2:
The following is a DFT calculation (PBE-GGA) of a relaxed TlCuOs2 crystal.

Unit cell a=4.470 b=4.470 c=4.470 alpha=60.00 beta=60.00 gamma=60.00
Fractional coordinates of all 4 atoms:
Cu: 0.250 0.250 0.250
Os: 0.000 0.000 0.000
Os: 0.750 0.750 0.750
Tl: 0.500 0.500 0.500

Summary:
As for the space-group type: F-43m, No. 216. For the total energy, the calculation gives -24.947 eV for the cell shown.